Here is Sr2CrF6 after structural relaxation from the Alexandria database. Energies are from PBE+U.

E, eV per atom: -5.877

abc: 5.9436 6.2929 8.6264
angles: 90.00 99.37 90.00
Site moments in Bohr magnetons follow the coordinates.
Positions (direct):
Sr 0.9573 0.4060 0.7694  0.00
Sr 0.5427 0.9060 0.7306  0.00
Sr 0.4573 0.0940 0.2694  0.00
Sr 0.0427 0.5940 0.2306  0.00
Cr 0.5000 0.5000 0.0000  3.81
Cr 0.0000 0.0000 0.5000  3.81
F 0.8305 0.9117 0.2888  0.00
F 0.8239 0.7084 0.6127  0.02
F 0.7839 0.6560 0.9518  0.00
F 0.7161 0.1560 0.5482  0.00
F 0.6761 0.2084 0.8873  0.02
F 0.6695 0.4117 0.2112  0.00
F 0.1695 0.0883 0.7112  0.00
F 0.1761 0.2916 0.3873  0.02
F 0.2161 0.3440 0.0482  0.00
F 0.2839 0.8440 0.4518  0.00
F 0.3239 0.7916 0.1127  0.02
F 0.3305 0.5883 0.7888  0.00